# 1
Material: HfCoBiW2
Method: DFT, SCAN
State: PBEsol geometry

The structure in extended XYZ format:
```
5
Lattice="-3.121 3.279 -0.165 -0.587 -0.782 -4.423 -3.341 -3.129 0.997" Properties=species:S:1:pos:R:3 pbc="T T T"
Co 0.000 0.000 0.000
W -0.294 -0.391 -2.212
W -1.560 1.640 -0.083
Hf -3.524 -0.316 -1.796
Bi -1.670 -1.564 0.498
```

Summary:
- Raw total energy: -58.323 eV/atom
- Theoretical density: 14.1 Mg/m³

***

# 2
Material: HfCo2BiW
Method: DFT, SCAN
State: PBEsol geometry

The structure in extended XYZ format:
```
5
Lattice="4.396 0.000 0.000 0.000 4.396 0.000 0.000 0.000 5.296" Properties=species:S:1:pos:R:3 pbc="T T T"
Bi 0.000 0.000 2.648
W 2.198 2.198 2.648
Hf 0.000 0.000 0.000
Co 2.198 0.000 0.000
Co 0.000 2.198 0.000
```

Summary:
- Raw total energy: -47.100 eV/atom
- Theoretical density: 11.2 Mg/m³

***

# 3
Material: CoHg2BiOs
Method: DFT, SCAN
State: PBEsol geometry

The structure in extended XYZ format:
```
5
Lattice="-0.995 0.139 -4.307 4.514 -2.226 -1.115 -2.203 -4.647 0.359" Properties=species:S:1:pos:R:3 pbc="T T T"
Bi 0.658 -3.367 -2.531
Co -0.497 0.070 -2.153
Hg -1.101 -2.323 0.179
Hg 2.257 -1.113 -0.557
Os 0.000 0.000 0.000
```

Summary:
- Raw total energy: -59.711 eV/atom
- Theoretical density: 12.1 Mg/m³

***

# 4
Material: CoHgBiP2
Method: DFT, SCAN
State: PBEsol geometry

The structure in extended XYZ format:
```
5
Lattice="4.256 0.000 0.000 0.000 4.256 0.000 0.000 0.000 5.420" Properties=species:S:1:pos:R:3 pbc="T T T"
P 0.000 2.128 0.000
P 2.128 0.000 0.000
Hg 0.000 0.000 2.710
Co 0.000 0.000 0.000
Bi 2.128 2.128 2.710
```

Summary:
- Raw total energy: -36.466 eV/atom
- Theoretical density: 9.0 Mg/m³

***

# 5
Material: Ho5CoBi2
Method: DFT, SCAN
State: PBEsol geometry

The structure in extended XYZ format:
```
32
Lattice="-3.077 6.612 2.839 -0.252 -3.529 7.945 11.181 4.241 2.239" Properties=species:S:1:pos:R:3 pbc="T T T"
Ho 5.178 2.900 5.848
Ho 7.809 7.525 8.715
Ho -0.800 4.008 8.895
Ho 5.269 -0.169 7.233
Ho 0.043 -0.200 4.308
Ho 2.583 7.494 5.790
Ho 8.652 3.317 4.128
Ho 7.702 6.031 12.079
Ho 5.748 6.390 5.400
Ho -1.538 0.324 7.236
Ho 8.301 1.752 8.182
Ho 5.622 4.341 9.247
Ho 9.390 7.001 5.787
Ho 5.285 4.394 2.484
Ho 2.104 0.935 7.623
Ho 0.150 1.294 0.944
Ho 2.674 4.425 7.175
Ho 2.230 2.984 3.776
Ho -0.449 5.573 4.841
Ho 2.567 2.931 10.539
Bi 3.422 1.830 1.009
Bi 4.430 5.495 12.014
Bi 0.054 2.725 6.060
Bi 7.920 6.299 3.137
Bi 3.301 0.131 4.835
Bi 4.551 7.194 8.188
Bi 7.799 4.600 6.963
Bi -0.068 1.026 9.886
Co 3.674 4.962 4.700
Co 4.179 2.363 8.323
Co 8.150 9.476 6.847
Co -0.298 -2.151 6.176
```

Summary:
- Raw total energy: -53.037 eV/atom
- Theoretical density: 10.4 Mg/m³

***

# 6
Material: Ho12Co5Bi
Method: DFT, SCAN
State: PBEsol geometry

The structure in extended XYZ format:
```
18
Lattice="8.121 0.005 0.002 -2.879 7.594 -0.002 2.890 3.614 6.674" Properties=species:S:1:pos:R:3 pbc="T T T"
Ho 2.767 7.244 1.928
Ho 7.574 2.445 1.930
Ho 8.805 2.965 5.299
Ho 2.706 3.741 2.536
Ho 0.532 5.241 0.020
Ho -0.672 8.247 1.375
Ho 0.559 8.767 4.744
Ho 2.717 5.909 5.297
Ho 5.426 7.472 4.138
Ho 5.366 3.969 4.746
Ho 5.415 5.304 1.377
Ho 7.600 5.972 6.654
Co 3.274 8.957 4.085
Co 1.970 2.856 0.000
Co 3.272 4.743 0.000
Co 0.000 0.000 0.000
Co 4.859 2.256 2.589
Bi 0.006 5.604 3.336
```

Summary:
- Raw total energy: -42.100 eV/atom
- Theoretical density: 10.0 Mg/m³

***

# 7
Material: CoBiIO2
Method: DFT, SCAN
State: PBEsol geometry

The structure in extended XYZ format:
```
5
Lattice="4.147 0.000 0.000 0.000 4.147 0.000 0.000 0.000 4.745" Properties=species:S:1:pos:R:3 pbc="T T T"
I 0.000 0.000 2.373
Co 0.000 0.000 0.000
O 2.074 0.000 0.000
O 0.000 2.074 0.000
Bi 2.074 2.074 2.373
```

Summary:
- Raw total energy: -28.899 eV/atom
- Theoretical density: 8.7 Mg/m³
- ΔE_f (raw): 0.6 eV per formula unit

***

# 8
Material: In3CoBi
Method: DFT, SCAN
State: PBEsol geometry

The structure in extended XYZ format:
```
5
Lattice="5.832 0.000 0.000 0.000 5.832 0.000 0.000 0.000 5.832" Properties=species:S:1:pos:R:3 pbc="T T T"
In 0.000 2.916 0.000
In 0.000 0.000 2.916
In 2.916 0.000 0.000
Co 2.916 2.916 2.916
Bi 0.000 0.000 0.000
```

Summary:
- Raw total energy: -38.084 eV/atom
- Theoretical density: 5.1 Mg/m³

***

# 9
Material: KCoBi3
Method: DFT, SCAN
State: PBEsol geometry

The structure in extended XYZ format:
```
5
Lattice="5.713 0.000 0.000 0.000 5.713 0.000 0.000 0.000 5.713" Properties=species:S:1:pos:R:3 pbc="T T T"
Co 2.856 2.856 2.856
Bi 0.000 0.000 2.856
Bi 2.856 0.000 0.000
Bi 0.000 2.856 0.000
K 0.000 0.000 0.000
```

Summary:
- Raw total energy: -50.536 eV/atom
- Theoretical density: 6.5 Mg/m³

***

# 10
Material: La3CoBi
Method: DFT, SCAN
State: PBEsol geometry

The structure in extended XYZ format:
```
10
Lattice="-6.449 -2.609 2.528 5.935 -4.421 -0.136 -0.793 -1.425 7.220" Properties=species:S:1:pos:R:3 pbc="T T T"
Bi 4.253 -3.672 1.703
Bi 0.889 -2.174 5.381
La 0.632 -5.689 6.577
La -1.939 -2.766 3.035
La 3.779 -4.488 5.284
La -2.271 -3.552 6.734
La -5.086 -3.967 4.328
La 0.964 -4.903 2.878
Co -3.621 -2.017 4.874
Co -0.257 -3.515 1.196
```

Summary:
- Raw total energy: -45.588 eV/atom
- Theoretical density: 7.9 Mg/m³
- E above lowest polymorph: 0 meV per atom

***

# 11
Material: La3CoBi
Method: DFT, SCAN
State: PBEsol geometry

The structure in extended XYZ format:
```
5
Lattice="-4.459 2.743 0.104 -0.724 -1.366 5.003 2.648 4.246 1.542" Properties=species:S:1:pos:R:3 pbc="T T T"
Co 0.000 0.000 0.000
La -2.229 1.372 0.052
La 1.324 2.123 0.771
La -0.362 -0.683 2.501
Bi -1.268 2.812 3.324
```

Summary:
- Raw total energy: -45.578 eV/atom
- Theoretical density: 7.9 Mg/m³
- E above lowest polymorph: 11 meV per atom

***

# 12
Material: LiCoBi2
Method: DFT, SCAN
State: PBEsol geometry

The structure in extended XYZ format:
```
8
Lattice="-0.111 4.830 -0.869 -5.180 1.690 -3.815 -3.510 3.246 4.624" Properties=species:S:1:pos:R:3 pbc="T T T"
Co 0.000 0.000 0.000
Co -4.428 6.091 -0.247
Bi -5.944 6.319 -2.253
Bi -6.348 5.710 1.348
Bi -2.481 5.264 -1.624
Bi -2.830 2.240 2.411
Li -4.373 3.675 0.188
Li -0.055 2.415 -0.434
```

Summary:
- Raw total energy: -43.998 eV/atom
- Theoretical density: 8.6 Mg/m³

***

# 13
Material: LiMn2CoBi
Method: DFT, SCAN
State: PBEsol geometry

The structure in extended XYZ format:
```
5
Lattice="4.624 0.000 0.000 0.000 4.624 0.000 0.000 0.000 4.808" Properties=species:S:1:pos:R:3 pbc="T T T"
Co 0.000 0.000 0.000
Mn 2.312 0.000 0.000
Mn 0.000 2.312 0.000
Li 2.312 2.312 2.404
Bi 0.000 0.000 2.404
```

Summary:
- Raw total energy: -26.672 eV/atom
- Theoretical density: 6.2 Mg/m³

***

# 14
Material: Li2Co3BiO8
Method: DFT, SCAN
State: PBEsol geometry

The structure in extended XYZ format:
```
14
Lattice="-4.561 -2.054 -2.750 -1.270 -5.555 0.331 -4.864 -1.620 3.354" Properties=species:S:1:pos:R:3 pbc="T T T"
Li -6.787 -7.309 -1.057
Li -3.909 -1.920 1.993
Co -2.280 -1.027 -1.375
Co -2.916 -3.804 -1.209
Co -0.635 -2.777 0.166
O -8.192 -6.868 0.944
O -4.771 -3.485 -1.333
O -3.235 -5.119 0.105
O -5.332 -3.151 2.114
O -7.461 -4.109 0.831
O -5.925 -5.744 2.269
O -5.364 -6.078 -1.178
O -2.504 -2.360 -0.008
Bi -5.348 -4.614 0.468
```

Summary:
- Raw total energy: -14.749 eV/atom
- Theoretical density: 6.0 Mg/m³
- ΔE_f (raw): -21.4 eV per formula unit

***

# 15
Material: MgCoBi2
Method: DFT, SCAN
State: PBEsol geometry

The structure in extended XYZ format:
```
8
Lattice="-0.504 -4.832 1.016 4.928 -3.653 -2.805 3.226 -1.692 5.677" Properties=species:S:1:pos:R:3 pbc="T T T"
Bi 3.472 -2.494 -1.046
Bi 1.383 -5.317 2.678
Bi 6.142 -6.069 1.464
Bi 4.305 -6.475 4.680
Co 0.000 0.000 0.000
Co 3.699 -6.297 2.198
Mg 3.951 -3.881 1.690
Mg -0.252 -2.416 0.508
```

Summary:
- Raw total energy: -44.663 eV/atom
- Theoretical density: 8.5 Mg/m³

***

# 16
Material: MgNbCo2Bi
Method: DFT, SCAN
State: PBEsol geometry

The structure in extended XYZ format:
```
5
Lattice="-0.763 -3.029 2.972 3.424 1.345 2.250 -2.915 3.207 2.520" Properties=species:S:1:pos:R:3 pbc="T T T"
Nb -0.127 0.761 3.871
Mg 0.000 0.000 0.000
Co 1.712 0.672 1.125
Co -0.382 -1.515 1.486
Bi -1.458 1.604 1.260
```

Summary:
- Raw total energy: -28.777 eV/atom
- Theoretical density: 7.9 Mg/m³

***

# 17
Material: Co2BiMo
Method: DFT, SCAN
State: PBEsol geometry

The structure in extended XYZ format:
```
8
Lattice="-1.892 -0.444 -3.699 -2.715 -2.676 1.710 -2.452 7.485 2.716" Properties=species:S:1:pos:R:3 pbc="T T T"
Co -3.141 0.514 -1.632
Co -2.624 5.018 1.920
Co -4.510 3.870 0.662
Co -3.844 -0.671 0.503
Mo -2.304 -1.560 -0.995
Mo -3.324 2.741 -0.989
Bi -3.736 1.624 1.716
Bi 0.000 0.000 0.000
```

Summary:
- Raw total energy: -35.980 eV/atom
- Theoretical density: 10.3 Mg/m³

***

# 18
Material: Co3BiMo
Method: DFT, SCAN
State: PBEsol geometry

The structure in extended XYZ format:
```
5
Lattice="4.571 0.000 0.000 0.000 4.571 0.000 0.000 0.000 4.571" Properties=species:S:1:pos:R:3 pbc="T T T"
Co 0.000 0.000 2.285
Co 2.285 0.000 0.000
Co 0.000 2.285 0.000
Mo 2.285 2.285 2.285
Bi 0.000 0.000 0.000
```

Summary:
- Raw total energy: -31.078 eV/atom
- Theoretical density: 8.4 Mg/m³

***

# 19
Material: CoBiMoRu2
Method: DFT, SCAN
State: PBEsol geometry

The structure in extended XYZ format:
```
5
Lattice="4.429 0.000 0.000 0.000 4.618 0.000 0.000 0.000 4.618" Properties=species:S:1:pos:R:3 pbc="T T T"
Mo 0.000 0.000 0.000
Ru 0.000 2.309 0.000
Ru 0.000 0.000 2.309
Co 2.215 0.000 0.000
Bi 2.215 2.309 2.309
```

Summary:
- Raw total energy: -38.701 eV/atom
- Theoretical density: 9.9 Mg/m³

***

# 20
Material: ScCo2BiMo
Method: DFT, SCAN
State: PBEsol geometry

The structure in extended XYZ format:
```
5
Lattice="4.614 0.000 0.000 0.000 4.614 0.000 0.000 0.000 5.191" Properties=species:S:1:pos:R:3 pbc="T T T"
Mo 2.307 2.307 2.596
Co 2.307 0.000 0.000
Co 0.000 2.307 0.000
Sc 0.000 0.000 2.596
Bi 0.000 0.000 0.000
```

Summary:
- Raw total energy: -30.841 eV/atom
- Theoretical density: 7.0 Mg/m³

***

# 21
Material: CoBi2N
Method: DFT, SCAN
State: PBEsol geometry

The structure in extended XYZ format:
```
8
Lattice="5.659 0.000 0.000 0.000 5.659 0.000 -2.830 -2.830 5.254" Properties=species:S:1:pos:R:3 pbc="T T T"
Co 0.000 0.000 0.000
Co 0.000 2.830 2.627
Bi 1.530 4.245 1.313
Bi -1.415 -1.300 3.940
Bi 1.415 1.300 3.940
Bi 4.129 1.415 1.313
N 2.830 0.000 2.627
N 2.830 2.830 0.000
```

Summary:
- Raw total energy: -45.063 eV/atom
- Theoretical density: 9.7 Mg/m³
- ΔE_f (raw): 3.5 eV per formula unit

***

# 22
Material: CoBi3N
Method: DFT, SCAN
State: PBEsol geometry

The structure in extended XYZ format:
```
5
Lattice="-4.341 -1.813 0.883 2.010 -3.719 2.244 -0.164 2.406 4.134" Properties=species:S:1:pos:R:3 pbc="T T T"
Bi 1.005 -1.860 1.122
Bi -2.170 -0.906 0.442
Bi -0.082 1.203 2.067
N 0.000 0.000 0.000
Co -1.247 -1.563 3.631
```

Summary:
- Raw total energy: -51.405 eV/atom
- Theoretical density: 10.6 Mg/m³
- ΔE_f (raw): 5.3 eV per formula unit

***

# 23
Material: CoBiRu2N
Method: DFT, SCAN
State: PBEsol geometry

The structure in extended XYZ format:
```
5
Lattice="4.303 0.000 0.000 0.000 4.303 0.000 0.000 0.000 4.934" Properties=species:S:1:pos:R:3 pbc="T T T"
Co 0.000 0.000 0.000
Ru 2.151 0.000 0.000
Ru 0.000 2.151 0.000
N 2.151 2.151 2.467
Bi 0.000 0.000 2.467
```

Summary:
- Raw total energy: -32.734 eV/atom
- Theoretical density: 8.8 Mg/m³
- ΔE_f (raw): 11.2 eV per formula unit

***

# 24
Material: NaTiCo2Bi
Method: DFT, SCAN
State: PBEsol geometry

The structure in extended XYZ format:
```
5
Lattice="4.384 0.000 0.000 0.000 4.384 0.000 0.000 0.000 5.292" Properties=species:S:1:pos:R:3 pbc="T T T"
Na 2.192 2.192 2.646
Co 0.000 2.192 0.000
Co 2.192 0.000 0.000
Bi 0.000 0.000 2.646
Ti 0.000 0.000 0.000
```

Summary:
- Raw total energy: -25.889 eV/atom
- Theoretical density: 6.5 Mg/m³

***

# 25
Material: NbCoBi2
Method: DFT, SCAN
State: PBEsol geometry

The structure in extended XYZ format:
```
8
Lattice="-2.382 -0.806 -5.523 -3.176 -1.996 4.770 0.407 6.011 0.726" Properties=species:S:1:pos:R:3 pbc="T T T"
Co -2.377 1.902 -2.586
Co -2.779 -1.401 -0.376
Bi -4.565 0.305 -0.067
Bi -2.018 -0.562 -2.593
Bi -1.975 2.203 -0.148
Bi -1.744 4.471 2.755
Nb 0.000 0.000 0.000
Nb -2.774 1.307 2.560
```

Summary:
- Raw total energy: -51.086 eV/atom
- Theoretical density: 11.2 Mg/m³